(1)
A geometry-optimized Tb4ScP5 structure. Source: the Alexandria database, functional GGA-PBE.

Structure (extended XYZ):
```
10
Lattice="-4.4456 4.4456 2.8198 4.4456 -4.4456 2.8198 4.4456 4.4456 -2.8198" Properties=species:S:1:pos:R:3 pbc="T T T"
Tb 2.6635 0.8702 0.0000
Tb 3.5755 -1.7821 2.8198
Tb 0.8702 6.2277 0.0000
Tb 1.7821 3.5755 2.8198
Sc 0.0000 0.0000 2.8198
P 0.0000 0.0000 0.0000
P 5.3118 1.8493 0.0000
P 1.8493 3.5795 0.0000
P 2.5963 0.8661 2.8198
P -0.8661 2.5963 2.8198
```

Summary:
E_form, meV per atom: -1566.4
Space group: No. 87

=====

(2)
A geometry-optimized LiPrMg2Zn4 structure. Source: the Alexandria database, functional GGA-PBE.

Structure (extended XYZ):
```
8
Lattice="2.3169 1.3377 8.4076 -2.3169 1.3377 8.4076 0.0000 -2.6754 8.4076" Properties=species:S:1:pos:R:3 pbc="T T T"
Li 0.0000 0.0000 0.0000
Pr 0.0000 0.0000 12.6113
Mg 0.0000 0.0000 6.4923
Mg 0.0000 0.0000 18.7304
Zn 0.0000 0.0000 2.6970
Zn 0.0000 0.0000 9.3415
Zn 0.0000 0.0000 15.8812
Zn 0.0000 0.0000 22.5257
```

Summary:
E_form, meV per atom: -197.3
Space group: No. 166

=====

(3)
A geometry-optimized ThAlV structure. Source: the Alexandria database, functional GGA-PBE.

Structure (extended XYZ):
```
3
Lattice="-1.6910 1.6910 5.6586 1.6910 -1.6910 5.6586 1.6910 1.6910 -5.6586" Properties=species:S:1:pos:R:3 pbc="T T T"
Th 0.0000 0.0000 0.0000
Al 0.0000 0.0000 8.0127
V 0.0000 0.0000 3.6126
```

Summary:
E_form, meV per atom: 115.7
Energy relative to the lowest polymorph listed for this composition, meV per atom: 241
Space group: No. 107

=====

(4)
A geometry-optimized Pr4Nd5Dy4 structure. Source: the Alexandria database, functional GGA-PBE.

Structure (extended XYZ):
```
13
Lattice="-6.5937 6.5937 2.5730 6.5937 -6.5937 2.5730 6.5937 6.5937 -2.5730" Properties=species:S:1:pos:R:3 pbc="T T T"
Pr 8.1432 1.0219 0.0000
Pr 1.0219 5.0441 0.0000
Pr 5.5718 1.5496 2.5730
Pr -1.5496 5.5718 2.5730
Nd 0.0000 0.0000 0.0000
Nd 6.0597 4.0724 0.0000
Nd 2.5213 -0.5340 2.5730
Nd 4.0724 7.1277 0.0000
Nd 0.5340 2.5213 2.5730
Dy 3.0494 2.0339 0.0000
Dy 4.5598 -3.5443 2.5730
Dy 2.0339 10.1380 0.0000
Dy 3.5443 4.5598 2.5730
```

Summary:
E_form, meV per atom: 16.1
Space group: No. 87

=====

(5)
A geometry-optimized BaHg2Ir structure. Source: the Alexandria database, functional GGA-PBE.

Structure (extended XYZ):
```
4
Lattice="0.0000 3.7215 3.7215 3.7215 0.0000 3.7215 3.7215 3.7215 0.0000" Properties=species:S:1:pos:R:3 pbc="T T T"
Ba 0.0000 0.0000 0.0000
Hg 1.8607 1.8607 1.8607
Hg 5.5822 5.5822 5.5822
Ir 3.7215 3.7215 3.7215
```

Summary:
E_form, meV per atom: 191.2
Space group: No. 225

=====

(6)
A geometry-optimized MgSc2Tc structure. Source: the Alexandria database, functional GGA-PBE.

Structure (extended XYZ):
```
4
Lattice="3.0171 0.0000 0.0000 0.0000 4.6731 0.0000 -1.4273 0.0000 5.5730" Properties=species:S:1:pos:R:3 pbc="T T T"
Mg 0.0000 0.0000 0.0000
Sc 0.2794 0.0000 3.0422
Sc 1.5972 2.3365 1.4381
Tc -0.5697 2.3365 4.0475
```

Summary:
E_form, meV per atom: 49.4
Space group: No. 6

=====

(7)
A geometry-optimized YMgSi2 structure. Source: the Alexandria database, functional GGA-PBE.

Structure (extended XYZ):
```
4
Lattice="-1.8583 2.1382 5.0000 1.8583 -2.1382 5.0000 1.8583 2.1382 -5.0000" Properties=species:S:1:pos:R:3 pbc="T T T"
Y 0.0000 0.0000 0.0000
Mg 1.8583 0.0000 2.6525
Si 0.0000 0.0000 5.6145
Si 0.0000 2.1382 2.3381
```

Summary:
Space group: No. 44
Energy relative to the elements, uncorrected, eV per atom: -0.354

=====

(8)
A geometry-optimized Th2Np3UN6 structure. Source: the Alexandria database, functional GGA-PBE.

Structure (extended XYZ):
```
12
Lattice="3.0487 -5.2758 0.0000 3.0487 5.2758 0.0000 -2.0338 0.0000 5.7467" Properties=species:S:1:pos:R:3 pbc="T T T"
Th 3.0487 3.5166 0.0000
Th 3.0487 -3.5166 0.0000
Np -1.0169 0.0000 2.8734
Np 2.0318 1.7672 2.8734
Np 2.0318 -1.7672 2.8734
U 3.0487 0.0000 0.0000
N 0.0496 1.6708 4.2482
N 1.1143 0.0000 1.5102
N 0.0496 -1.6708 4.2482
N 4.0140 1.6708 1.4985
N 2.9492 0.0000 4.2365
N 4.0140 -1.6708 1.4985
```

Summary:
Space group: No. 12
Energy relative to the elements, uncorrected, eV per atom: -1.266

=====

(9)
A geometry-optimized TaVH3 structure. Source: the Alexandria database, functional GGA-PBE.

Structure (extended XYZ):
```
20
Lattice="0.0000 4.3184 4.3184 4.3184 0.0000 4.3184 4.3184 4.3184 0.0000" Properties=species:S:1:pos:R:3 pbc="T T T"
Ta 0.0000 0.0000 0.0000
Ta 2.1592 2.1592 0.0000
Ta 2.1592 0.0000 2.1592
Ta 0.0000 2.1592 2.1592
V 4.3184 2.1592 2.1592
V 2.1592 4.3184 2.1592
V 2.1592 2.1592 4.3184
V 4.3184 4.3184 4.3184
H 3.2388 3.2388 1.1980
H 3.2388 1.1980 3.2388
H 5.2796 3.2388 3.2388
H 5.3980 5.3980 3.3572
H 5.3980 3.3572 5.3980
H 7.4388 5.3980 5.3980
H 1.1980 3.2388 3.2388
H 3.2388 5.2796 3.2388
H 3.2388 3.2388 5.2796
H 3.3572 5.3980 5.3980
H 5.3980 7.4388 5.3980
H 5.3980 5.3980 7.4388
```

Summary:
Energy relative to the lowest polymorph listed for this composition, meV per atom: 0
Space group: No. 227

=====

(10)
A geometry-optimized NbAg structure. Source: the Alexandria database, functional GGA-PBE.

Structure (extended XYZ):
```
8
Lattice="-4.2633 4.2633 4.2633 4.2633 -4.2633 4.2633 4.2633 4.2633 -4.2633" Properties=species:S:1:pos:R:3 pbc="T T T"
Nb 3.3366 3.3366 -3.3366
Nb 3.3366 -3.3366 3.3366
Nb 0.9267 0.9267 0.9267
Nb -3.3366 3.3366 3.3366
Ag 1.7165 1.7165 -1.7165
Ag 1.7165 -1.7165 1.7165
Ag -1.7165 1.7165 1.7165
Ag 2.5468 2.5468 2.5468
```

Summary:
E_form, meV per atom: 1426.7
Space group: No. 217

=====

(11)
A geometry-optimized RbTi2F11 structure. Source: the Alexandria database, functional GGA-PBE.

Structure (extended XYZ):
```
28
Lattice="-4.3740 5.5517 5.5080 4.3740 -5.5517 5.5080 4.3740 5.5517 -5.5080" Properties=species:S:1:pos:R:3 pbc="T T T"
Rb 0.0000 0.0000 2.7540
Rb 0.0000 0.0000 8.2620
Ti 5.3292 1.9626 0.0000
Ti 0.9552 3.5891 0.0000
Ti 3.4188 1.9626 5.5080
Ti -0.9552 3.5891 5.5080
F 4.3740 0.0000 0.0000
F 2.3111 -1.1417 1.2513
F 5.3095 -3.3106 4.2506
F 3.4571 1.8942 0.0000
F 5.3095 3.3106 -1.2574
F 6.4369 1.1417 1.2513
F 2.0629 4.4100 -1.2513
F 0.9355 2.2411 1.2574
F 3.4571 -1.8942 5.5080
F 5.3095 3.3106 1.2574
F 2.3111 1.1417 4.2567
F 0.0000 5.5517 0.0000
F 2.0629 4.4100 1.2513
F -0.9355 2.2411 4.2506
F 0.9169 7.4459 0.0000
F 3.4384 3.3106 4.2506
F 2.3111 1.1417 6.7594
F -2.0629 4.4100 4.2567
F -0.9355 2.2411 6.7654
F 0.9169 3.6574 5.5080
F -0.9355 8.8622 1.2574
F 2.0629 6.6933 4.2567
```

Summary:
Space group: No. 72
Energy relative to the elements, uncorrected, eV per atom: -2.741

=====

(12)
A geometry-optimized MgReNi2 structure. Source: the Alexandria database, functional GGA-PBE.

Structure (extended XYZ):
```
8
Lattice="-1.8777 1.8777 8.3325 1.8777 -1.8777 8.3325 1.8777 1.8777 -8.3325" Properties=species:S:1:pos:R:3 pbc="T T T"
Mg 0.0000 0.0000 0.0000
Mg 0.0000 1.8777 4.1663
Re 1.8777 0.0000 4.1663
Re 0.0000 0.0000 8.3325
Ni 0.9389 -0.8808 6.2494
Ni 0.9969 0.9389 2.0831
Ni 0.9389 2.7586 -2.0831
Ni 0.8808 0.9389 10.4156
```

Summary:
E_form, meV per atom: 708.6
Space group: No. 122

=====

(13)
A geometry-optimized Sr2ZnCoC structure. Source: the Alexandria database, functional GGA-PBE.

Structure (extended XYZ):
```
5
Lattice="5.5004 0.0000 0.0000 0.0000 5.5004 0.0000 0.0000 0.0000 3.6593" Properties=species:S:1:pos:R:3 pbc="T T T"
Sr 0.0000 2.7502 0.0000
Sr 2.7502 0.0000 0.0000
Zn 0.0000 0.0000 1.8296
Co 2.7502 2.7502 1.8296
C 2.7502 2.7502 0.0000
```

Summary:
E_form, meV per atom: 43.4
Space group: No. 123

=====

(14)
A geometry-optimized Ac3ReC3 structure. Source: the Alexandria database, functional GGA-PBE.

Structure (extended XYZ):
```
14
Lattice="4.6593 -5.7190 0.0000 4.6593 5.7190 0.0000 0.0000 0.0000 5.7749" Properties=species:S:1:pos:R:3 pbc="T T T"
Ac 4.6593 4.4623 4.3311
Ac 2.7540 1.3647 4.3311
Ac 2.7540 -1.3647 1.4437
Ac 6.5646 1.3647 4.3311
Ac 6.5646 -1.3647 1.4437
Ac 4.6593 -4.4623 1.4437
Re 4.6593 2.2954 1.4437
Re 4.6593 -2.2954 4.3311
C 4.6593 4.2553 1.4437
C 2.8952 1.4949 1.4437
C 2.8952 -1.4949 4.3311
C 6.4234 1.4949 1.4437
C 6.4234 -1.4949 4.3311
C 4.6593 -4.2553 4.3311
```

Summary:
E_form, meV per atom: -11.2
Space group: No. 63

=====

(15)
A geometry-optimized AgIrCl structure. Source: the Alexandria database, functional GGA-PBE.

Structure (extended XYZ):
```
6
Lattice="2.9060 0.0000 0.0000 0.0000 3.4193 0.0000 -1.3971 0.0000 11.4844" Properties=species:S:1:pos:R:3 pbc="T T T"
Ag 0.0000 0.0000 0.0000
Ag 0.0566 1.7097 9.6205
Ir -0.0001 0.0000 3.1923
Ir 1.4528 1.7097 1.7813
Cl -0.0001 1.7097 4.8262
Cl 1.5098 0.0000 8.0127
```

Summary:
Energy relative to the lowest polymorph listed for this composition, meV per atom: 27
Space group: No. 6
Energy relative to the elements, uncorrected, eV per atom: 0.126

=====

(16)
A geometry-optimized NdH6Pt2Rh structure. Source: the Alexandria database, functional GGA-PBE.

Structure (extended XYZ):
```
10
Lattice="4.8263 0.0000 0.0000 -2.4077 4.1928 0.0000 -0.0076 -2.7605 4.8671" Properties=species:S:1:pos:R:3 pbc="T T T"
Nd 0.0000 0.0000 0.0000
H -1.0491 2.1965 1.0912
H -0.0003 1.5970 3.7779
H 1.3580 -0.7638 3.7767
H 1.0530 2.1960 1.0904
H 2.4112 -0.1648 1.0892
H 3.4600 -0.7642 3.7759
Pt -0.0034 0.0230 3.0987
Pt 2.4143 1.4093 1.7685
Rh 2.4093 -1.3803 2.4336
```

Summary:
Space group: No. 2
Total DFT energy (no corrections), eV for the cell shown: -47.78

=====

(17)
A geometry-optimized MgMnPd5 structure. Source: the Alexandria database, functional GGA-PBE.

Structure (extended XYZ):
```
7
Lattice="3.8920 0.0000 0.0000 0.0000 3.8920 0.0000 0.0000 0.0000 7.7487" Properties=species:S:1:pos:R:3 pbc="T T T"
Mg 0.0000 0.0000 0.0000
Mn 1.9460 1.9460 3.8743
Pd 0.0000 0.0000 3.8743
Pd 0.0000 1.9460 1.8889
Pd 0.0000 1.9460 5.8598
Pd 1.9460 0.0000 1.8889
Pd 1.9460 0.0000 5.8598
```

Summary:
E_form, meV per atom: -213.5
Energy relative to the lowest polymorph listed for this composition, meV per atom: 0
Space group: No. 123

=====

(18)
A geometry-optimized PmNpAg2O6 structure. Source: the Alexandria database, functional GGA-PBE.

Structure (extended XYZ):
```
20
Lattice="5.8399 0.0000 0.0000 0.0000 5.9671 0.0000 -5.7682 0.0000 8.4636" Properties=species:S:1:pos:R:3 pbc="T T T"
Pm 0.0000 0.0000 0.0000
Pm -2.8841 2.9835 4.2318
Np 0.0358 0.0000 4.2318
Np 2.9199 2.9835 0.0000
Ag -2.8664 0.1596 6.3754
Ag 0.0177 2.8240 2.1436
Ag 0.0540 3.1431 6.3200
Ag 2.9381 5.8075 2.0882
O -0.5600 0.2556 2.2690
O -3.4441 2.7280 6.5008
O 1.2320 4.0206 0.4480
O -1.6521 4.9300 4.6798
O 1.9524 1.2539 0.4582
O -0.9317 1.7296 4.6900
O 1.0034 4.2375 3.7737
O -1.8807 4.7132 8.0055
O 1.7238 1.0370 3.7839
O -1.1603 1.9465 8.0157
O 3.5158 3.2391 1.9628
O 0.6317 5.7115 6.1946
```

Summary:
Space group: No. 14
Energy relative to the elements, uncorrected, eV per atom: -2.010

=====

(19)
A geometry-optimized Ac6NdEr2 structure. Source: the Alexandria database, functional GGA-PBE.

Structure (extended XYZ):
```
18
Lattice="8.0737 -4.9184 0.0000 8.0737 4.9184 0.0000 -0.4811 0.0000 9.5592" Properties=species:S:1:pos:R:3 pbc="T T T"
Ac 2.3674 1.3821 4.5608
Ac 6.4348 3.1429 8.5188
Ac 8.9910 3.1429 5.8201
Ac 2.1269 -1.3821 9.3404
Ac 6.1969 0.0951 1.2666
Ac 5.9564 -0.0951 6.0462
Ac 9.7099 0.0951 3.5130
Ac 9.4694 -0.0951 8.2926
Ac 13.5394 1.3821 0.2188
Ac 6.6753 -3.1429 3.7392
Ac 9.2316 -3.1429 1.0405
Ac 13.2989 -1.3821 4.9985
Nd 7.9534 3.4631 2.3898
Nd 7.7129 -3.4631 7.1694
Er 3.2820 1.7108 7.9666
Er 3.5225 -1.7108 3.1870
Er 12.1438 1.7108 6.3722
Er 12.3843 -1.7108 1.5926
```

Summary:
E_form, meV per atom: 211.5
Space group: No. 15

=====

(20)
A geometry-optimized Zr2NiW structure. Source: the Alexandria database, functional GGA-PBE.

Structure (extended XYZ):
```
4
Lattice="5.3474 -1.5979 0.0000 5.3474 1.5979 0.0000 -1.9008 0.0000 4.2437" Properties=species:S:1:pos:R:3 pbc="T T T"
Zr 0.0000 0.0000 0.0000
Zr 0.9808 0.0000 3.0991
Ni 7.5967 0.0000 1.2044
W 4.0852 0.0000 1.9603
```

Summary:
E_form, meV per atom: 39.8
Energy relative to the lowest polymorph listed for this composition, meV per atom: 157
Space group: No. 8

=====

(21)
A geometry-optimized SrPuHfO6 structure. Source: the Alexandria database, functional GGA-PBE.

Structure (extended XYZ):
```
18
Lattice="5.6157 0.0000 0.0000 -2.8078 4.8633 0.0000 0.0000 0.0000 10.5151" Properties=species:S:1:pos:R:3 pbc="T T T"
Sr 0.0000 0.0000 0.0000
Sr 0.0000 0.0000 5.2576
Pu 0.0000 3.2422 2.6288
Pu 2.8078 1.6211 7.8864
Hf 0.0000 3.2422 7.8864
Hf 2.8078 1.6211 2.6288
O -1.0314 1.8093 1.5339
O -1.7566 3.0654 3.7237
O 1.0314 1.8093 3.7237
O -0.7252 4.8519 1.5339
O 2.0826 0.0114 6.7915
O 1.0512 1.7979 8.9813
O 1.7566 3.0654 1.5339
O 0.7252 4.8519 3.7237
O 3.5331 0.0114 8.9813
O 1.7764 3.0540 6.7915
O 4.5645 1.7979 6.7915
O 3.8392 3.0540 8.9813
```

Summary:
Space group: No. 163
Energy relative to the elements, uncorrected, eV per atom: -2.992

=====

| no. | calculated volume (Å³/atom) |
| --- | --- |
| 1 | 22.29 |
| 2 | 19.54 |
| 3 | 21.57 |
| 4 | 34.42 |
| 5 | 25.77 |
| 6 | 19.64 |
| 7 | 19.87 |
| 8 | 15.41 |
| 9 | 8.05 |
| 10 | 38.74 |
| 11 | 19.11 |
| 12 | 14.69 |
| 13 | 22.14 |
| 14 | 21.98 |
| 15 | 19.02 |
| 16 | 9.85 |
| 17 | 16.77 |
| 18 | 14.75 |
| 19 | 42.18 |
| 20 | 18.13 |
| 21 | 15.95 |